# 1
Cd3Pt30O40: PBEsol geometry, meta-GGA SCAN.

Calculated values
DFT total energy ... -34.190 eV per atom
Energy relative to the elements, uncorrected ... -49.61 eV per formula unit
SG ... P2/m, No. 10
V ... 12.31 A^3/atom
Size of the total moment ... 0.000 μB per formula unit

Lattice parameters (Å, degrees): 5.655 7.974 20.307 101.16 90.00 90.00
Atoms (fractional coordinates):
Pt: 0.753 0.703 0.399
Pt: 0.247 0.297 0.601
Pt: 0.000 0.855 0.950
Pt: 0.000 0.346 0.448
Pt: 0.500 0.905 0.551
Pt: 0.000 0.950 0.649
Pt: 0.753 0.098 0.203
Pt: 0.500 0.504 0.253
Pt: 0.500 0.706 0.152
Pt: 0.753 0.297 0.601
Pt: 0.000 0.654 0.552
Pt: 0.000 0.050 0.351
Pt: 0.500 0.095 0.449
Pt: 0.247 0.703 0.399
Pt: 0.243 0.500 0.000
Pt: 0.500 0.897 0.052
Pt: 0.500 0.294 0.848
Pt: 0.757 0.500 0.000
Pt: 0.247 0.098 0.203
Pt: 0.753 0.902 0.797
Pt: 0.500 0.702 0.651
Pt: 0.247 0.902 0.797
Pt: 0.500 0.298 0.349
Pt: 0.500 0.496 0.747
Pt: 0.500 0.103 0.948
Pt: 0.000 0.545 0.847
Pt: 0.000 0.250 0.750
Pt: 0.000 0.145 0.050
Pt: 0.000 0.455 0.153
Pt: 0.000 0.750 0.250
O: 0.258 0.350 0.199
O: 0.259 0.943 0.898
O: 0.248 0.851 0.699
O: 0.259 0.744 0.500
O: 0.259 0.251 0.004
O: 0.248 0.149 0.301
O: 0.247 0.050 0.599
O: 0.742 0.350 0.199
O: 0.258 0.451 0.402
O: 0.741 0.057 0.102
O: 0.752 0.652 0.300
O: 0.248 0.348 0.700
O: 0.259 0.749 0.996
O: 0.741 0.251 0.004
O: 0.743 0.455 0.899
O: 0.752 0.851 0.699
O: 0.247 0.150 0.799
O: 0.742 0.650 0.801
O: 0.743 0.545 0.101
O: 0.247 0.850 0.201
O: 0.742 0.451 0.402
O: 0.247 0.950 0.401
O: 0.741 0.943 0.898
O: 0.259 0.256 0.500
O: 0.741 0.744 0.500
O: 0.741 0.256 0.500
O: 0.258 0.650 0.801
O: 0.259 0.057 0.102
O: 0.741 0.749 0.996
O: 0.752 0.348 0.700
O: 0.753 0.150 0.799
O: 0.752 0.149 0.301
O: 0.753 0.850 0.201
O: 0.753 0.050 0.599
O: 0.248 0.652 0.300
O: 0.257 0.545 0.101
O: 0.753 0.950 0.401
O: 0.258 0.549 0.598
O: 0.257 0.455 0.899
O: 0.742 0.549 0.598
Cd: 0.500 0.500 0.500
Cd: 0.500 0.302 0.102
Cd: 0.500 0.698 0.898

***

# 2
Rb2NaTmCl6: PBEsol geometry, meta-GGA SCAN.

Calculated values
DFT total energy ... -16.892 eV per atom
Energy relative to the elements, uncorrected ... -23.52 eV per formula unit
SG ... Fm-3m, No. 225
V ... 28.94 A^3/atom
Size of the total moment ... 0.000 μB per formula unit

Lattice parameters (Å, degrees): 7.424 7.424 7.424 60.00 60.00 60.00
Atoms (fractional coordinates):
Na: 0.500 0.500 0.500
Cl: 0.244 0.756 0.244
Cl: 0.244 0.756 0.756
Cl: 0.756 0.244 0.756
Cl: 0.244 0.244 0.756
Cl: 0.756 0.244 0.244
Cl: 0.756 0.756 0.244
Rb: 0.250 0.250 0.250
Rb: 0.750 0.750 0.750
Tm: 0.000 0.000 0.000

***

# 3
In2Au2Br: PBEsol geometry, meta-GGA SCAN.

Calculated values
DFT total energy ... -45.120 eV per atom
Energy relative to the elements, uncorrected ... -1.05 eV per formula unit
SG ... I4/mmm, No. 139
V ... 23.46 A^3/atom
Size of the total moment ... 0.000 μB per formula unit

Lattice parameters (Å, degrees): 3.879 3.879 8.265 103.57 103.57 90.00
Atoms (fractional coordinates):
Br: 0.000 0.000 0.000
Au: 0.250 0.750 0.500
Au: 0.750 0.250 0.500
In: 0.606 0.606 0.213
In: 0.394 0.394 0.787

***

# 4
Ba2NiTeO6: PBEsol geometry, meta-GGA SCAN.

Calculated values
DFT total energy ... -19.136 eV per atom
Energy relative to the elements, uncorrected ... -21.45 eV per formula unit
SG ... R-3m, No. 166
V ... 13.82 A^3/atom
Size of the total moment ... 1.951 μB per formula unit

Lattice parameters (Å, degrees): 5.792 5.792 10.083 73.31 73.31 60.00
Last column: magnetic moment on the atom in μB.
Atoms (fractional coordinates):
O: 0.803 0.803 0.120  0.03
O: 0.274 0.803 0.120  0.03
O: 0.388 0.849 0.376  0.05
O: 0.803 0.274 0.120  0.03
O: 0.197 0.726 0.880  0.03
O: 0.612 0.151 0.624  0.05
O: 0.388 0.388 0.376  0.05
O: 0.726 0.197 0.880  0.03
O: 0.612 0.612 0.624  0.05
O: 0.197 0.197 0.880  0.03
O: 0.151 0.612 0.624  0.05
O: 0.849 0.388 0.376  0.05
Te: 0.000 0.000 0.000  0.07
Te: 0.500 0.500 0.500  -0.01
Ba: 0.875 0.875 0.375  0.00
Ba: 0.285 0.285 0.145  0.00
Ba: 0.125 0.125 0.625  0.00
Ba: 0.715 0.715 0.855  0.00
Ni: 0.407 0.407 0.780  1.63
Ni: 0.593 0.593 0.220  1.63

***

# 5
LiIn3: PBEsol geometry, meta-GGA SCAN.

Calculated values
Energy of formation ... -0.195 eV per atom
DFT total energy ... -25.832 eV per atom
SG ... Pm-3m, No. 221
V ... 22.50 A^3/atom
Size of the total moment ... 0.000 μB per formula unit

Lattice parameters (Å, degrees): 4.481 4.481 4.481 90.00 90.00 90.00
Atoms (fractional coordinates):
Li: 0.000 0.000 0.000
In: 0.500 0.000 0.500
In: 0.000 0.500 0.500
In: 0.500 0.500 0.000

***

# 6
LaHfRe3: PBEsol geometry, meta-GGA SCAN.

Calculated values
Energy of formation ... 1.612 eV per atom
DFT total energy ... -62.202 eV per atom
SG ... Pm-3m, No. 221
V ... 22.58 A^3/atom
Size of the total moment ... 2.585 μB per formula unit

Lattice parameters (Å, degrees): 4.833 4.833 4.833 90.00 90.00 90.00
Last column: magnetic moment on the atom in μB.
Atoms (fractional coordinates):
Hf: 0.000 0.000 0.000  0.02
Re: 0.500 0.000 0.000  0.63
Re: 0.000 0.000 0.500  0.63
Re: 0.000 0.500 0.000  0.63
La: 0.500 0.500 0.500  0.09